# RbAlAu3

A relaxed RbAlAu3 crystal (GGA-PBE, the Alexandria database).

Summary:
**Total energy**: -1.677 eV per atom
**Relative energy among the computed polymorphs**: 1529.5 meV per atom

Cell: 6.062 6.062 6.062 Å, 90.00 90.00 90.00°
Fractional coordinates of all 5 atoms:
Rb 0.000 0.000 0.000
Al 0.500 0.500 0.500
Au 0.000 0.000 0.500
Au 0.000 0.500 0.000
Au 0.500 0.000 0.000


# Hg3Ir

A relaxed Hg3Ir crystal (GGA-PBE, the Alexandria database).

Summary:
**Total energy**: -2.010 eV per atom
**Relative energy among the computed polymorphs**: 148.8 meV per atom

Cell: 3.000 3.000 10.737 Å, 90.00 90.00 120.00°
Fractional coordinates of all 4 atoms:
Hg 0.000 0.000 0.000
Hg 0.667 0.333 0.283
Hg 0.667 0.333 0.717
Ir 0.000 0.000 0.500


# CdRh2Cl

A relaxed CdRh2Cl crystal (GGA-PBE, the Alexandria database).

Summary:
**Total energy**: -4.233 eV per atom
**Relative energy among the computed polymorphs**: 117.3 meV per atom

Cell: 8.527 8.527 8.527 Å, 20.85 20.85 20.85°
Fractional coordinates of all 4 atoms:
Cd 0.000 0.000 0.000
Rh 0.246 0.246 0.246
Rh 0.504 0.504 0.504
Cl 0.760 0.760 0.760


# TiMoC2I

A relaxed TiMoC2I crystal (GGA-PBE, the Alexandria database).

Summary:
**Total energy**: -5.901 eV per atom

Cell: 4.092 4.092 5.539 Å, 90.00 90.00 90.00°
Fractional coordinates of all 5 atoms:
Ti 0.000 0.000 0.000
Mo 0.500 0.500 0.500
C 0.000 0.500 0.000
C 0.500 0.000 0.000
I 0.000 0.000 0.500


# CeBe2SiNi4

A relaxed CeBe2SiNi4 crystal (GGA-PBE, the Alexandria database).

Summary:
**Total energy**: -5.650 eV per atom

Cell: 8.385 8.385 8.385 Å, 26.18 26.18 26.18°
Fractional coordinates of all 8 atoms:
Ce 0.000 0.000 0.000
Be 0.232 0.232 0.232
Be 0.768 0.768 0.768
Si 0.500 0.500 0.500
Ni 0.133 0.133 0.133
Ni 0.406 0.406 0.406
Ni 0.594 0.594 0.594
Ni 0.867 0.867 0.867


# Hf2Hg2W

A relaxed Hf2Hg2W crystal (GGA-PBE, the Alexandria database).

Summary:
**Total energy**: -6.236 eV per atom
**Relative energy among the computed polymorphs**: 0.0 meV per atom

Cell: 7.380 7.380 3.776 Å, 90.00 90.00 90.00°
Fractional coordinates of all 10 atoms:
Hf 0.177 0.323 0.000
Hf 0.323 0.823 0.000
Hf 0.677 0.177 0.000
Hf 0.823 0.677 0.000
Hg 0.132 0.632 0.500
Hg 0.368 0.132 0.500
Hg 0.632 0.868 0.500
Hg 0.868 0.368 0.500
W 0.000 0.000 0.500
W 0.500 0.500 0.500